5
Lattice="4.516 0.000 0.000 0.000 4.516 0.000 0.000 0.000 4.516" Properties=species:S:1:pos:R:3 comment="BaCoO3 (PBE+U, relaxed)" energy_ev_per_cell=-20.530 magmom_total_mub_per_fu=2.373 pbc="T T T"
Ba 0.000 0.000 0.000
Co 2.258 2.258 2.258
O 0.000 0.000 2.258
O 0.000 2.258 0.000
O 2.258 0.000 0.000